Entry 1:
# TaGa2H PBE optimized geometry
# DOS(E_F)   1.71 states/eV/f.u.
# Spin magnetization   0.00 μB per formula unit
# Calculated volume   61.6 Å³ per cell
# ΔE to the lowest computed polymorph   0.876 eV/atom
data_TaGa2H
_space_group_name_H-M_alt 'P 1'
_space_group_IT_number 1
_space_group_name_Hall 'P 1'
_cell_length_a 4.434
_cell_length_b 4.434
_cell_length_c 4.434
_cell_angle_alpha 60.00
_cell_angle_beta 60.00
_cell_angle_gamma 60.00
loop_
_atom_site_label
_atom_site_type_symbol
_atom_site_fract_x
_atom_site_fract_y
_atom_site_fract_z
Ta1 Ta 0.000 0.000 0.000
Ga1 Ga 0.250 0.250 0.250
Ga2 Ga 0.750 0.750 0.750
H1 H 0.500 0.500 0.500

***

Entry 2:
# Ta2GaH PBE optimized geometry
# DOS(E_F)   2.43 states/eV/f.u.
# Spin magnetization   0.00 μB per formula unit
# Calculated volume   57.9 Å³ per cell
# ΔE to the lowest computed polymorph   0.608 eV/atom
data_Ta2GaH
_space_group_name_H-M_alt 'P 1'
_space_group_IT_number 1
_space_group_name_Hall 'P 1'
_cell_length_a 4.343
_cell_length_b 4.343
_cell_length_c 4.343
_cell_angle_alpha 60.00
_cell_angle_beta 60.00
_cell_angle_gamma 60.00
loop_
_atom_site_label
_atom_site_type_symbol
_atom_site_fract_x
_atom_site_fract_y
_atom_site_fract_z
Ta1 Ta 0.250 0.250 0.250
Ta2 Ta 0.750 0.750 0.750
Ga1 Ga 0.000 0.000 0.000
H1 H 0.500 0.500 0.500

***

Entry 3:
# Ta2GaH2 PBE optimized geometry
# DOS(E_F)   1.64 states/eV/f.u.
# Spin magnetization   0.00 μB per formula unit
# Calculated volume   114.9 Å³ per cell
# ΔE to the lowest computed polymorph   0.000 eV/atom
data_Ta2GaH2
_space_group_name_H-M_alt 'P 1'
_space_group_IT_number 1
_space_group_name_Hall 'P 1'
_cell_length_a 5.137
_cell_length_b 5.137
_cell_length_c 5.624
_cell_angle_alpha 103.41
_cell_angle_beta 103.41
_cell_angle_gamma 119.34
loop_
_atom_site_label
_atom_site_type_symbol
_atom_site_fract_x
_atom_site_fract_y
_atom_site_fract_z
Ta1 Ta 0.050 0.950 0.750
Ta2 Ta 0.299 0.701 0.250
Ta3 Ta 0.701 0.299 0.750
Ta4 Ta 0.950 0.050 0.250
Ga1 Ga 0.375 0.625 0.750
Ga2 Ga 0.625 0.375 0.250
H1 H 0.006 0.757 0.014
H2 H 0.243 0.994 0.486
H3 H 0.757 0.006 0.514
H4 H 0.994 0.243 0.986

***

Entry 4:
# TaGaH2 PBE optimized geometry
# DOS(E_F)   1.53 states/eV/f.u.
# Spin magnetization   0.00 μB per formula unit
# Calculated volume   42.8 Å³ per cell
# ΔE to the lowest computed polymorph   0.000 eV/atom
data_TaGaH2
_space_group_name_H-M_alt 'P 1'
_space_group_IT_number 1
_space_group_name_Hall 'P 1'
_cell_length_a 5.302
_cell_length_b 5.302
_cell_length_c 5.302
_cell_angle_alpha 34.55
_cell_angle_beta 34.55
_cell_angle_gamma 34.55
loop_
_atom_site_label
_atom_site_type_symbol
_atom_site_fract_x
_atom_site_fract_y
_atom_site_fract_z
Ta1 Ta 0.000 0.000 0.000
Ga1 Ga 0.188 0.188 0.188
H1 H 0.392 0.392 0.392
H2 H 0.700 0.700 0.700

***

Entry 5:
# Ta2GaH PBE optimized geometry
# DOS(E_F)   4.32 states/eV/f.u.
# Spin magnetization   0.00 μB per formula unit
# Calculated volume   66.9 Å³ per cell
# ΔE to the lowest computed polymorph   0.610 eV/atom
data_Ta2GaH
_space_group_name_H-M_alt 'P 1'
_space_group_IT_number 1
_space_group_name_Hall 'P 1'
_cell_length_a 7.686
_cell_length_b 7.686
_cell_length_c 7.686
_cell_angle_alpha 24.17
_cell_angle_beta 24.17
_cell_angle_gamma 24.17
loop_
_atom_site_label
_atom_site_type_symbol
_atom_site_fract_x
_atom_site_fract_y
_atom_site_fract_z
Ta1 Ta 0.123 0.123 0.123
Ta2 Ta 0.877 0.877 0.877
Ga1 Ga 0.000 0.000 0.000
H1 H 0.500 0.500 0.500

***

Entry 6:
# Ta4Ga5H2 PBE optimized geometry
# DOS(E_F)   4.78 states/eV/f.u.
# Uncorrected energy   -6.244 eV per atom
# Spin magnetization   0.00 μB per formula unit
# Calculated volume   165.1 Å³ per cell
data_Ta4Ga5H2
_space_group_name_H-M_alt 'P 1'
_space_group_IT_number 1
_space_group_name_Hall 'P 1'
_cell_length_a 8.517
_cell_length_b 8.517
_cell_length_c 8.517
_cell_angle_alpha 160.28
_cell_angle_beta 127.33
_cell_angle_gamma 56.78
loop_
_atom_site_label
_atom_site_type_symbol
_atom_site_fract_x
_atom_site_fract_y
_atom_site_fract_z
Ta1 Ta 0.163 0.163 0.000
Ta2 Ta 0.195 0.500 0.695
Ta3 Ta 0.805 0.500 0.305
Ta4 Ta 0.837 0.837 0.000
Ga1 Ga 0.146 0.324 0.822
Ga2 Ga 0.499 0.676 0.822
Ga3 Ga 0.500 0.000 0.500
Ga4 Ga 0.501 0.324 0.178
Ga5 Ga 0.854 0.676 0.178
H1 H 0.043 0.043 0.000
H2 H 0.957 0.957 0.000

***

Entry 7:
# TaGa3H PBE optimized geometry
# DOS(E_F)   4.77 states/eV/f.u.
# Spin magnetization   1.10 μB per formula unit
# Calculated volume   134.8 Å³ per cell
# ΔE to the lowest computed polymorph   0.859 eV/atom
data_TaGa3H
_space_group_name_H-M_alt 'P 1'
_space_group_IT_number 1
_space_group_name_Hall 'P 1'
_cell_length_a 5.128
_cell_length_b 5.128
_cell_length_c 5.128
_cell_angle_alpha 90.00
_cell_angle_beta 90.00
_cell_angle_gamma 90.00
loop_
_atom_site_label
_atom_site_type_symbol
_atom_site_fract_x
_atom_site_fract_y
_atom_site_fract_z
Ta1 Ta 0.000 0.000 0.000
Ga1 Ga 0.000 0.000 0.500
Ga2 Ga 0.000 0.500 0.000
Ga3 Ga 0.500 0.000 0.000
H1 H 0.500 0.500 0.500

***

Entry 8:
# Ta2Ga2H PBE optimized geometry
# DOS(E_F)   1.52 states/eV/f.u.
# Uncorrected energy   -6.637 eV per atom
# Spin magnetization   0.00 μB per formula unit
# Calculated volume   149.5 Å³ per cell
data_Ta2Ga2H
_space_group_name_H-M_alt 'P 1'
_space_group_IT_number 1
_space_group_name_Hall 'P 1'
_cell_length_a 7.064
_cell_length_b 7.064
_cell_length_c 7.424
_cell_angle_alpha 90.00
_cell_angle_beta 90.00
_cell_angle_gamma 156.20
loop_
_atom_site_label
_atom_site_type_symbol
_atom_site_fract_x
_atom_site_fract_y
_atom_site_fract_z
Ta1 Ta 0.043 0.957 0.500
Ta2 Ta 0.371 0.629 0.327
Ta3 Ta 0.629 0.371 0.827
Ta4 Ta 0.957 0.043 0.000
Ga1 Ga 0.278 0.722 0.976
Ga2 Ga 0.398 0.602 0.690
Ga3 Ga 0.602 0.398 0.190
Ga4 Ga 0.722 0.278 0.476
H1 H 0.044 0.956 0.766
H2 H 0.956 0.044 0.266

***

Entry 9:
# TaGa2H2 PBE optimized geometry
# DOS(E_F)   1.82 states/eV/f.u.
# Uncorrected energy   -4.764 eV per atom
# Spin magnetization   0.00 μB per formula unit
# Calculated volume   116.6 Å³ per cell
data_TaGa2H2
_space_group_name_H-M_alt 'P 1'
_space_group_IT_number 1
_space_group_name_Hall 'P 1'
_cell_length_a 5.144
_cell_length_b 5.144
_cell_length_c 4.405
_cell_angle_alpha 90.00
_cell_angle_beta 90.00
_cell_angle_gamma 90.00
loop_
_atom_site_label
_atom_site_type_symbol
_atom_site_fract_x
_atom_site_fract_y
_atom_site_fract_z
Ta1 Ta 0.000 0.000 0.000
Ta2 Ta 0.500 0.500 0.000
Ga1 Ga 0.228 0.272 0.500
Ga2 Ga 0.272 0.772 0.500
Ga3 Ga 0.728 0.228 0.500
Ga4 Ga 0.772 0.728 0.500
H1 H 0.146 0.646 0.000
H2 H 0.354 0.146 0.000
H3 H 0.646 0.854 0.000
H4 H 0.854 0.354 0.000

***

Entry 10:
# TaGa3H PBE optimized geometry
# DOS(E_F)   3.41 states/eV/f.u.
# Spin magnetization   0.00 μB per formula unit
# Calculated volume   68.7 Å³ per cell
# ΔE to the lowest computed polymorph   0.000 eV/atom
data_TaGa3H
_space_group_name_H-M_alt 'P 1'
_space_group_IT_number 1
_space_group_name_Hall 'P 1'
_cell_length_a 4.096
_cell_length_b 4.096
_cell_length_c 4.096
_cell_angle_alpha 90.00
_cell_angle_beta 90.00
_cell_angle_gamma 90.00
loop_
_atom_site_label
_atom_site_type_symbol
_atom_site_fract_x
_atom_site_fract_y
_atom_site_fract_z
Ta1 Ta 0.000 0.000 0.000
Ga1 Ga 0.000 0.500 0.500
Ga2 Ga 0.500 0.000 0.500
Ga3 Ga 0.500 0.500 0.000
H1 H 0.500 0.500 0.500

***

Entry 11:
# Ta3GaH2 PBE optimized geometry
# DOS(E_F)   1.83 states/eV/f.u.
# Spin magnetization   0.00 μB per formula unit
# Calculated volume   153.4 Å³ per cell
# ΔE to the lowest computed polymorph   0.000 eV/atom
data_Ta3GaH2
_space_group_name_H-M_alt 'P 1'
_space_group_IT_number 1
_space_group_name_Hall 'P 1'
_cell_length_a 6.080
_cell_length_b 6.080
_cell_length_c 4.167
_cell_angle_alpha 90.00
_cell_angle_beta 90.00
_cell_angle_gamma 95.14
loop_
_atom_site_label
_atom_site_type_symbol
_atom_site_fract_x
_atom_site_fract_y
_atom_site_fract_z
Ta1 Ta 0.135 0.865 0.750
Ta2 Ta 0.143 0.405 0.750
Ta3 Ta 0.405 0.143 0.250
Ta4 Ta 0.595 0.857 0.750
Ta5 Ta 0.857 0.595 0.250
Ta6 Ta 0.865 0.135 0.250
Ga1 Ga 0.346 0.654 0.250
Ga2 Ga 0.654 0.346 0.750
H1 H 0.135 0.135 0.000
H2 H 0.135 0.135 0.500
H3 H 0.865 0.865 0.000
H4 H 0.865 0.865 0.500

***

Entry 12:
# Ta2GaH2 PBE optimized geometry
# DOS(E_F)   0.97 states/eV/f.u.
# Spin magnetization   0.00 μB per formula unit
# Calculated volume   62.2 Å³ per cell
# ΔE to the lowest computed polymorph   0.155 eV/atom
data_Ta2GaH2
_space_group_name_H-M_alt 'P 1'
_space_group_IT_number 1
_space_group_name_Hall 'P 1'
_cell_length_a 4.845
_cell_length_b 4.845
_cell_length_c 4.845
_cell_angle_alpha 131.64
_cell_angle_beta 131.64
_cell_angle_gamma 70.80
loop_
_atom_site_label
_atom_site_type_symbol
_atom_site_fract_x
_atom_site_fract_y
_atom_site_fract_z
Ta1 Ta 0.250 0.750 0.500
Ta2 Ta 0.750 0.250 0.500
Ga1 Ga 0.000 0.000 0.000
H1 H 0.337 0.337 0.000
H2 H 0.663 0.663 0.000

***

Entry 13:
# Ta2GaH2 PBE optimized geometry
# DOS(E_F)   3.36 states/eV/f.u.
# Spin magnetization   0.00 μB per formula unit
# Calculated volume   115.8 Å³ per cell
# ΔE to the lowest computed polymorph   0.340 eV/atom
data_Ta2GaH2
_space_group_name_H-M_alt 'P 1'
_space_group_IT_number 1
_space_group_name_Hall 'P 1'
_cell_length_a 6.340
_cell_length_b 6.340
_cell_length_c 2.881
_cell_angle_alpha 90.00
_cell_angle_beta 90.00
_cell_angle_gamma 90.00
loop_
_atom_site_label
_atom_site_type_symbol
_atom_site_fract_x
_atom_site_fract_y
_atom_site_fract_z
Ta1 Ta 0.151 0.349 0.000
Ta2 Ta 0.349 0.849 0.000
Ta3 Ta 0.651 0.151 0.000
Ta4 Ta 0.849 0.651 0.000
Ga1 Ga 0.000 0.000 0.500
Ga2 Ga 0.500 0.500 0.500
H1 H 0.103 0.603 0.500
H2 H 0.397 0.103 0.500
H3 H 0.603 0.897 0.500
H4 H 0.897 0.397 0.500

***

Entry 14:
# Ta2GaH PBE optimized geometry
# DOS(E_F)   2.30 states/eV/f.u.
# Spin magnetization   0.00 μB per formula unit
# Calculated volume   54.5 Å³ per cell
# ΔE to the lowest computed polymorph   0.000 eV/atom
data_Ta2GaH
_space_group_name_H-M_alt 'P 1'
_space_group_IT_number 1
_space_group_name_Hall 'P 1'
_cell_length_a 7.395
_cell_length_b 7.395
_cell_length_c 7.395
_cell_angle_alpha 23.08
_cell_angle_beta 23.08
_cell_angle_gamma 23.08
loop_
_atom_site_label
_atom_site_type_symbol
_atom_site_fract_x
_atom_site_fract_y
_atom_site_fract_z
Ta1 Ta 0.000 0.000 0.000
Ta2 Ta 0.210 0.210 0.210
Ga1 Ga 0.439 0.439 0.439
H1 H 0.607 0.607 0.607

***

Entry 15:
# Ta3GaH3 PBE optimized geometry
# DOS(E_F)   0.74 states/eV/f.u.
# Spin magnetization   0.00 μB per formula unit
# Calculated volume   156.8 Å³ per cell
# ΔE to the lowest computed polymorph   0.000 eV/atom
data_Ta3GaH3
_space_group_name_H-M_alt 'P 1'
_space_group_IT_number 1
_space_group_name_Hall 'P 1'
_cell_length_a 5.393
_cell_length_b 5.393
_cell_length_c 5.393
_cell_angle_alpha 90.00
_cell_angle_beta 90.00
_cell_angle_gamma 90.00
loop_
_atom_site_label
_atom_site_type_symbol
_atom_site_fract_x
_atom_site_fract_y
_atom_site_fract_z
Ta1 Ta 0.000 0.250 0.500
Ta2 Ta 0.000 0.750 0.500
Ta3 Ta 0.250 0.500 0.000
Ta4 Ta 0.500 0.000 0.250
Ta5 Ta 0.500 0.000 0.750
Ta6 Ta 0.750 0.500 0.000
Ga1 Ga 0.000 0.000 0.000
Ga2 Ga 0.500 0.500 0.500
H1 H 0.000 0.500 0.250
H2 H 0.000 0.500 0.750
H3 H 0.250 0.000 0.500
H4 H 0.500 0.250 0.000
H5 H 0.500 0.750 0.000
H6 H 0.750 0.000 0.500

***

Entry 16:
# Ta2GaH PBE optimized geometry
# DOS(E_F)   2.72 states/eV/f.u.
# Spin magnetization   0.00 μB per formula unit
# Calculated volume   110.1 Å³ per cell
# ΔE to the lowest computed polymorph   0.118 eV/atom
data_Ta2GaH
_space_group_name_H-M_alt 'P 1'
_space_group_IT_number 1
_space_group_name_Hall 'P 1'
_cell_length_a 5.298
_cell_length_b 2.859
_cell_length_c 7.266
_cell_angle_alpha 90.00
_cell_angle_beta 90.00
_cell_angle_gamma 90.00
loop_
_atom_site_label
_atom_site_type_symbol
_atom_site_fract_x
_atom_site_fract_y
_atom_site_fract_z
Ta1 Ta 0.250 0.000 0.149
Ta2 Ta 0.250 0.500 0.783
Ta3 Ta 0.750 0.000 0.851
Ta4 Ta 0.750 0.500 0.217
Ga1 Ga 0.000 0.000 0.500
Ga2 Ga 0.500 0.000 0.500
H1 H 0.000 0.500 0.000
H2 H 0.500 0.500 0.000

***

Entry 17:
# Ta4Ga2H PBE optimized geometry
# DOS(E_F)   2.64 states/eV/f.u.
# Spin magnetization   0.00 μB per formula unit
# Calculated volume   107.8 Å³ per cell
# ΔE to the lowest computed polymorph   0.000 eV/atom
data_Ta4Ga2H
_space_group_name_H-M_alt 'P 1'
_space_group_IT_number 1
_space_group_name_Hall 'P 1'
_cell_length_a 7.675
_cell_length_b 7.675
_cell_length_c 7.675
_cell_angle_alpha 150.74
_cell_angle_beta 150.74
_cell_angle_gamma 41.86
loop_
_atom_site_label
_atom_site_type_symbol
_atom_site_fract_x
_atom_site_fract_y
_atom_site_fract_z
Ta1 Ta 0.000 0.500 0.500
Ta2 Ta 0.173 0.173 0.000
Ta3 Ta 0.500 0.000 0.500
Ta4 Ta 0.827 0.827 0.000
Ga1 Ga 0.359 0.359 0.000
Ga2 Ga 0.641 0.641 0.000
H1 H 0.000 0.000 0.000

***

Entry 18:
# TaGaTc2H PBE optimized geometry
# DOS(E_F)   3.57 states/eV/f.u.
# Uncorrected energy   -7.868 eV per atom
# Spin magnetization   0.00 μB per formula unit
# Calculated volume   63.9 Å³ per cell
data_TaGaTc2H
_space_group_name_H-M_alt 'P 1'
_space_group_IT_number 1
_space_group_name_Hall 'P 1'
_cell_length_a 4.074
_cell_length_b 4.074
_cell_length_c 3.853
_cell_angle_alpha 90.00
_cell_angle_beta 90.00
_cell_angle_gamma 90.00
loop_
_atom_site_label
_atom_site_type_symbol
_atom_site_fract_x
_atom_site_fract_y
_atom_site_fract_z
Ta1 Ta 0.000 0.000 0.000
Ga1 Ga 0.500 0.500 0.000
Tc1 Tc 0.000 0.500 0.500
Tc2 Tc 0.500 0.000 0.500
H1 H 0.000 0.000 0.500

***

Entry 19:
# Ta2GaTcH PBE optimized geometry
# DOS(E_F)   2.63 states/eV/f.u.
# Uncorrected energy   -8.217 eV per atom
# Spin magnetization   0.00 μB per formula unit
# Calculated volume   67.6 Å³ per cell
data_Ta2GaTcH
_space_group_name_H-M_alt 'P 1'
_space_group_IT_number 1
_space_group_name_Hall 'P 1'
_cell_length_a 4.138
_cell_length_b 4.138
_cell_length_c 3.950
_cell_angle_alpha 90.00
_cell_angle_beta 90.00
_cell_angle_gamma 90.00
loop_
_atom_site_label
_atom_site_type_symbol
_atom_site_fract_x
_atom_site_fract_y
_atom_site_fract_z
Ta1 Ta 0.000 0.500 0.000
Ta2 Ta 0.500 0.000 0.000
Ga1 Ga 0.000 0.000 0.500
Tc1 Tc 0.500 0.500 0.500
H1 H 0.500 0.500 0.000

***

Entry 20:
# TaV2GaH PBE optimized geometry
# DOS(E_F)   3.44 states/eV/f.u.
# Uncorrected energy   -7.450 eV per atom
# Spin magnetization   0.00 μB per formula unit
# Calculated volume   61.7 Å³ per cell
data_TaV2GaH
_space_group_name_H-M_alt 'P 1'
_space_group_IT_number 1
_space_group_name_Hall 'P 1'
_cell_length_a 3.835
_cell_length_b 3.835
_cell_length_c 4.198
_cell_angle_alpha 90.00
_cell_angle_beta 90.00
_cell_angle_gamma 90.00
loop_
_atom_site_label
_atom_site_type_symbol
_atom_site_fract_x
_atom_site_fract_y
_atom_site_fract_z
Ta1 Ta 0.000 0.000 0.000
V1 V 0.000 0.500 0.500
V2 V 0.500 0.000 0.500
Ga1 Ga 0.500 0.500 0.000
H1 H 0.000 0.000 0.500